No. 1
VASP calculation (GGA-PBEsol) on a relaxed RbSrAl3 crystal.

Values from the calculation:
Energy of formation, meV per atom: 1176
DOS(E_F), states/eV/cell: 5.82
Space-group type: Pm-3m

Lattice parameters (Å, degrees): 5.6636 5.6636 5.6636 90.00 90.00 90.00
Atoms (fractional coordinates):
Rb 0.0000 0.0000 0.0000
Sr 0.5000 0.5000 0.5000
Al 0.0000 0.0000 0.5000
Al 0.0000 0.5000 0.0000
Al 0.5000 0.0000 0.0000

***

No. 2
VASP calculation (GGA-PBEsol) on a relaxed RbTaAl3 crystal.

Values from the calculation:
Energy of formation, meV per atom: 625
DOS(E_F), states/eV/cell: 6.11
Space-group type: Pm-3m

Lattice parameters (Å, degrees): 5.1814 5.1814 5.1814 90.00 90.00 90.00
Atoms (fractional coordinates):
Rb 0.0000 0.0000 0.0000
Ta 0.5000 0.5000 0.5000
Al 0.0000 0.5000 0.5000
Al 0.5000 0.0000 0.5000
Al 0.5000 0.5000 0.0000

***

No. 3
VASP calculation (GGA-PBEsol) on a relaxed Rb2TaTiAl crystal.

Values from the calculation:
Energy of formation, meV per atom: 2201
DOS(E_F), states/eV/cell: 8.61
Space-group type: P4/mmm

Lattice parameters (Å, degrees): 5.9286 5.9286 5.1477 90.00 90.00 90.00
Atoms (fractional coordinates):
Rb 0.0000 0.5000 0.0000
Rb 0.5000 0.0000 0.0000
Ta 0.0000 0.0000 0.5000
Ti 0.5000 0.5000 0.0000
Al 0.5000 0.5000 0.5000

***

No. 4
VASP calculation (GGA-PBEsol) on a relaxed RbAl3Tc crystal.

Values from the calculation:
Energy of formation, meV per atom: 2570
DOS(E_F), states/eV/cell: 4.79
Space-group type: Pm-3m

Lattice parameters (Å, degrees): 5.2692 5.2692 5.2692 90.00 90.00 90.00
Atoms (fractional coordinates):
Rb 0.0000 0.0000 0.0000
Al 0.0000 0.0000 0.5000
Al 0.0000 0.5000 0.0000
Al 0.5000 0.0000 0.0000
Tc 0.5000 0.5000 0.5000

***

No. 5
VASP calculation (GGA-PBEsol) on a relaxed Rb2AlTe crystal.

Values from the calculation:
DOS(E_F), states/eV/cell: 1.15
Space-group type: I-42d
Energy relative to the elements, uncorrected, eV/atom: 0.080

Lattice parameters (Å, degrees): 12.5743 12.5743 12.5743 156.02 156.02 34.17
Atoms (fractional coordinates):
Rb 0.1119 0.6250 0.9869
Rb 0.3750 0.3619 0.4869
Rb 0.6381 0.1250 0.0131
Rb 0.8750 0.8881 0.5131
Al 0.2500 0.7500 0.5000
Al 0.5000 0.5000 0.0000
Te 0.0000 0.0000 0.0000
Te 0.7500 0.2500 0.5000

***

No. 6
VASP calculation (GGA-PBEsol) on a relaxed Rb3AlTl crystal.

Values from the calculation:
Energy of formation, meV per atom: 528
DOS(E_F), states/eV/cell: 4.41
Space-group type: Pm-3m

Lattice parameters (Å, degrees): 6.7877 6.7877 6.7877 90.00 90.00 90.00
Atoms (fractional coordinates):
Rb 0.0000 0.0000 0.5000
Rb 0.0000 0.5000 0.0000
Rb 0.5000 0.0000 0.0000
Al 0.0000 0.0000 0.0000
Tl 0.5000 0.5000 0.5000

***

No. 7
VASP calculation (GGA-PBEsol) on a relaxed RbY3Al crystal.

Values from the calculation:
Energy of formation, meV per atom: 1298
DOS(E_F), states/eV/cell: 4.43
Space-group type: Pm-3m

Lattice parameters (Å, degrees): 5.2911 5.2911 5.2911 90.00 90.00 90.00
Atoms (fractional coordinates):
Rb 0.0000 0.0000 0.0000
Y 0.0000 0.0000 0.5000
Y 0.0000 0.5000 0.0000
Y 0.5000 0.0000 0.0000
Al 0.5000 0.5000 0.5000

***

No. 8
VASP calculation (GGA-PBEsol) on a relaxed Al5Re24 crystal.

Values from the calculation:
Energy of formation, meV per atom: -65
DOS(E_F), states/eV/cell: 19.40
Space-group type: I-43m

Lattice parameters (Å, degrees): 8.2534 8.2534 8.2534 109.47 109.47 109.47
Atoms (fractional coordinates):
Al 0.0000 0.0000 0.0000
Al 0.0000 0.0000 0.3516
Al 0.0000 0.3516 0.0000
Al 0.3516 0.0000 0.0000
Al 0.6484 0.6484 0.6484
Re 0.0000 0.3183 0.5998
Re 0.0000 0.5998 0.3183
Re 0.0000 0.6238 0.8080
Re 0.0000 0.8080 0.6238
Re 0.1842 0.3762 0.3762
Re 0.1920 0.1920 0.8158
Re 0.1920 0.8158 0.1920
Re 0.2815 0.6817 0.6817
Re 0.3183 0.0000 0.5998
Re 0.3183 0.5998 0.0000
Re 0.3762 0.1842 0.3762
Re 0.3762 0.3762 0.1842
Re 0.4002 0.4002 0.7185
Re 0.4002 0.7185 0.4002
Re 0.5998 0.0000 0.3183
Re 0.5998 0.3183 0.0000
Re 0.6238 0.0000 0.8080
Re 0.6238 0.8080 0.0000
Re 0.6817 0.2815 0.6817
Re 0.6817 0.6817 0.2815
Re 0.7185 0.4002 0.4002
Re 0.8080 0.0000 0.6238
Re 0.8080 0.6238 0.0000
Re 0.8158 0.1920 0.1920

***

No. 9
VASP calculation (GGA-PBEsol) on a relaxed Al4Re3 crystal.

Values from the calculation:
Energy of formation, meV per atom: -278
DOS(E_F), states/eV/cell: 5.08
Space-group type: I4/mmm

Lattice parameters (Å, degrees): 10.3333 10.3333 10.3333 162.56 162.56 24.77
Atoms (fractional coordinates):
Al 0.0667 0.0667 0.0000
Al 0.3598 0.3598 0.0000
Al 0.6402 0.6402 0.0000
Al 0.9333 0.9333 0.0000
Re 0.2126 0.2126 0.0000
Re 0.5000 0.5000 0.0000
Re 0.7874 0.7874 0.0000

***

No. 10
VASP calculation (GGA-PBEsol) on a relaxed Al12Re crystal.

Values from the calculation:
Energy of formation, meV per atom: -131
DOS(E_F), states/eV/cell: 2.84
Space-group type: Im-3

Lattice parameters (Å, degrees): 6.4835 6.4835 6.4835 109.47 109.47 109.47
Atoms (fractional coordinates):
Al 0.1203 0.3079 0.8124
Al 0.1876 0.4955 0.3079
Al 0.1876 0.8797 0.6921
Al 0.3079 0.1876 0.4955
Al 0.3079 0.8124 0.1203
Al 0.4955 0.3079 0.1876
Al 0.5045 0.6921 0.8124
Al 0.6921 0.1876 0.8797
Al 0.6921 0.8124 0.5045
Al 0.8124 0.1203 0.3079
Al 0.8124 0.5045 0.6921
Al 0.8797 0.6921 0.1876
Re 0.0000 0.0000 0.0000

***

No. 11
VASP calculation (GGA-PBEsol) on a relaxed Al3Re2 crystal.

Values from the calculation:
Energy of formation, meV per atom: -17
DOS(E_F), states/eV/cell: 4.71
Space-group type: R-3m

Lattice parameters (Å, degrees): 10.9730 10.9730 10.9730 14.65 14.65 14.65
Atoms (fractional coordinates):
Al 0.0000 0.0000 0.0000
Al 0.2019 0.2019 0.2019
Al 0.7981 0.7981 0.7981
Re 0.3997 0.3997 0.3997
Re 0.6003 0.6003 0.6003

***

No. 12
VASP calculation (GGA-PBEsol) on a relaxed Al7Re crystal.

Values from the calculation:
Energy of formation, meV per atom: -25
DOS(E_F), states/eV/cell: 3.15
Space-group type: Fm-3m

Lattice parameters (Å, degrees): 5.5486 5.5486 5.5486 60.00 60.00 60.00
Atoms (fractional coordinates):
Al 0.0000 0.0000 0.0000
Al 0.0000 0.0000 0.5000
Al 0.0000 0.5000 0.0000
Al 0.0000 0.5000 0.5000
Al 0.5000 0.0000 0.0000
Al 0.5000 0.0000 0.5000
Al 0.5000 0.5000 0.0000
Re 0.5000 0.5000 0.5000

***

No. 13
VASP calculation (GGA-PBEsol) on a relaxed AlRe crystal.

Values from the calculation:
Energy of formation, meV per atom: -23
DOS(E_F), states/eV/cell: 1.78
Space-group type: R-3m

Lattice parameters (Å, degrees): 4.9080 4.9080 4.9080 51.14 51.14 51.14
Atoms (fractional coordinates):
Al 0.1104 0.1104 0.1104
Al 0.8896 0.8896 0.8896
Re 0.3172 0.3172 0.3172
Re 0.6828 0.6828 0.6828

***

No. 14
VASP calculation (GGA-PBEsol) on a relaxed AlRe crystal.

Values from the calculation:
Energy of formation, meV per atom: -308
DOS(E_F), states/eV/cell: 0.59
Space-group type: P4/nmm

Lattice parameters (Å, degrees): 3.0716 3.0716 5.9489 90.00 90.00 90.00
Atoms (fractional coordinates):
Al 0.2500 0.2500 0.1284
Al 0.7500 0.7500 0.8716
Re 0.2500 0.2500 0.6342
Re 0.7500 0.7500 0.3658

***

No. 15
VASP calculation (GGA-PBEsol) on a relaxed Al11Re4 crystal.

Values from the calculation:
Energy of formation, meV per atom: -327
DOS(E_F), states/eV/cell: 4.36
Space-group type: P-1

Lattice parameters (Å, degrees): 5.1325 5.1561 8.9327 90.64 104.95 99.40
Atoms (fractional coordinates):
Al 0.0000 0.0000 0.0000
Al 0.0954 0.4964 0.8721
Al 0.2049 0.0555 0.3340
Al 0.2571 0.7992 0.6372
Al 0.3194 0.5634 0.3782
Al 0.4642 0.1453 0.8720
Al 0.5358 0.8547 0.1280
Al 0.6806 0.4366 0.6218
Al 0.7429 0.2008 0.3628
Al 0.7951 0.9445 0.6660
Al 0.9046 0.5036 0.1279
Re 0.1558 0.2790 0.6039
Re 0.3897 0.3388 0.1316
Re 0.6103 0.6612 0.8684
Re 0.8442 0.7210 0.3961

***

No. 16
VASP calculation (GGA-PBEsol) on a relaxed Al2Re crystal.

Values from the calculation:
Energy of formation, meV per atom: -198
DOS(E_F), states/eV/cell: 1.92
Space-group type: C2/m

Lattice parameters (Å, degrees): 4.9449 4.9449 6.4081 106.29 106.29 35.82
Atoms (fractional coordinates):
Al 0.0287 0.0287 0.3123
Al 0.3469 0.3469 0.9483
Al 0.6531 0.6531 0.0517
Al 0.9713 0.9713 0.6877
Re 0.3130 0.3130 0.3602
Re 0.6870 0.6870 0.6398

***

No. 17
VASP calculation (GGA-PBEsol) on a relaxed Al6Re crystal.

Values from the calculation:
Energy of formation, meV per atom: -196
DOS(E_F), states/eV/cell: 2.79
Space-group type: Cmcm

Lattice parameters (Å, degrees): 5.0148 5.0148 9.0130 90.00 90.00 81.84
Atoms (fractional coordinates):
Al 0.0277 0.6119 0.2500
Al 0.1324 0.8676 0.6002
Al 0.1324 0.8676 0.8998
Al 0.3247 0.3247 0.0000
Al 0.3247 0.3247 0.5000
Al 0.3881 0.9723 0.2500
Al 0.6119 0.0277 0.7500
Al 0.6753 0.6753 0.0000
Al 0.6753 0.6753 0.5000
Al 0.8676 0.1324 0.1002
Al 0.8676 0.1324 0.3998
Al 0.9723 0.3881 0.7500
Re 0.4566 0.5434 0.7500
Re 0.5434 0.4566 0.2500

***

No. 18
VASP calculation (GGA-PBEsol) on a relaxed Al2Re crystal.

Values from the calculation:
Energy of formation, meV per atom: -239
DOS(E_F), states/eV/cell: 9.15
Space-group type: Pnma

Lattice parameters (Å, degrees): 5.0929 4.1466 8.1053 90.00 90.00 90.00
Atoms (fractional coordinates):
Al 0.1375 0.2500 0.1962
Al 0.1466 0.2500 0.5396
Al 0.3534 0.7500 0.0396
Al 0.3625 0.7500 0.6962
Al 0.6375 0.2500 0.3038
Al 0.6466 0.2500 0.9604
Al 0.8534 0.7500 0.4604
Al 0.8625 0.7500 0.8038
Re 0.1487 0.2500 0.8705
Re 0.3513 0.7500 0.3705
Re 0.6487 0.2500 0.6295
Re 0.8513 0.7500 0.1295

***

No. 19
VASP calculation (GGA-PBEsol) on a relaxed AlReRh2 crystal.

Values from the calculation:
Energy of formation, meV per atom: -148
DOS(E_F), states/eV/cell: 4.79
Space-group type: P4/mmm

Lattice parameters (Å, degrees): 3.8824 3.8824 3.6776 90.00 90.00 90.00
Atoms (fractional coordinates):
Al 0.0000 0.0000 0.0000
Re 0.5000 0.5000 0.0000
Rh 0.0000 0.5000 0.5000
Rh 0.5000 0.0000 0.5000

***

No. 20
VASP calculation (GGA-PBEsol) on a relaxed AlReRh crystal.

Values from the calculation:
Energy of formation, meV per atom: -358
DOS(E_F), states/eV/cell: 3.08
Space-group type: I4mm

Lattice parameters (Å, degrees): 5.9064 5.9064 5.9064 153.23 153.23 38.22
Atoms (fractional coordinates):
Al 0.0000 0.0000 0.0000
Re 0.6756 0.6756 0.0000
Rh 0.3372 0.3372 0.0000